# 1
An optimized crystal structure of Mn2SiAu, computed with PBE.

As for the crystal system: tetragonal.

Lattice parameters (Å, degrees): 3.8716 3.8716 7.2138 90.00 90.00 90.00
Last column: nearest neighbours and their distance in Å.
Element x y z (fractional)
Mn1 0.0000 0.0000 0.0000  4 Mn 2.65, 4 Si 2.65, 4 Au 2.74
Mn2 0.0000 0.5000 0.2500  4 Mn 2.65, 4 Au 2.65, 4 Si 2.74
Mn3 0.5000 0.0000 0.7500  4 Mn 2.65, 4 Au 2.65, 4 Si 2.74
Mn4 0.5000 0.5000 0.5000  4 Mn 2.65, 4 Si 2.65, 4 Au 2.74
Si1 0.0000 0.5000 0.7500  8 Mn 2.65-2.74, 4 Au 2.65
Si2 0.5000 0.0000 0.2500  8 Mn 2.65-2.74, 4 Au 2.65
Au1 0.0000 0.0000 0.5000  8 Mn 2.65-2.74, 4 Si 2.65
Au2 0.5000 0.5000 0.0000  8 Mn 2.65-2.74, 4 Si 2.65


# 2
An optimized crystal structure of Mn2SiAu, computed with PBE.

As for the crystal system: orthorhombic.

Lattice parameters (Å, degrees): 3.3891 4.0496 8.5094 90.00 90.00 90.00
Last column: nearest neighbours and their distance in Å.
Element x y z (fractional)
Mn1 0.0000 0.0000 0.0000  2 Si 2.58, 4 Au 2.66, 4 Mn 2.83
Mn2 0.0000 0.5000 0.2330  4 Si 2.64, 4 Au 2.83-2.84, 4 Mn 2.83
Mn3 0.5000 0.0000 0.7330  4 Si 2.64, 4 Au 2.83-2.84, 4 Mn 2.83
Mn4 0.5000 0.5000 0.5000  2 Si 2.58, 4 Au 2.66, 4 Mn 2.83
Si1 0.0000 0.5000 0.7292  6 Mn 2.58-2.64, 2 Au 2.62
Si2 0.5000 0.0000 0.2292  6 Mn 2.58-2.64, 2 Au 2.62
Au1 0.0000 0.0000 0.4647  2 Si 2.62, 8 Mn 2.66-2.84
Au2 0.5000 0.5000 0.9647  2 Si 2.62, 8 Mn 2.66-2.84


# 3
An optimized crystal structure of Mn2SiAu, computed with PBE.

As for the crystal system: trigonal.

Lattice parameters (Å, degrees): 2.8448 2.8448 24.7144 90.00 90.00 120.00
Last column: nearest neighbours and their distance in Å.
Element x y z (fractional)
Mn1 0.0000 0.0000 0.0000  3 Si 2.47, 3 Mn 2.49
Mn2 0.0000 0.0000 0.2578  3 Mn 2.49
Mn3 0.3333 0.6667 0.6667  3 Si 2.47, 3 Mn 2.49
Mn4 0.3333 0.6667 0.9245  3 Mn 2.49
Mn5 0.6667 0.3333 0.3333  3 Si 2.47, 3 Mn 2.49
Mn6 0.6667 0.3333 0.5911  3 Mn 2.49
Si1 0.0000 0.0000 0.7415  3 Mn 2.47
Si2 0.3333 0.6667 0.4081  3 Mn 2.47
Si3 0.6667 0.3333 0.0748  3 Mn 2.47
Au1 0.0000 0.0000 0.4992  3 Si 2.79, 3 Mn 2.80, 6 Au 2.84
Au2 0.3333 0.6667 0.1659  3 Si 2.79, 3 Mn 2.80, 6 Au 2.84
Au3 0.6667 0.3333 0.8326  3 Si 2.79, 3 Mn 2.80, 6 Au 2.84


# 4
An optimized crystal structure of Mn2SiAu, computed with PBE.

As for the crystal system: cubic.

Lattice parameters (Å, degrees): 6.0293 6.0293 6.0293 90.00 90.00 90.00
Last column: nearest neighbours and their distance in Å.
Element x y z (fractional)
Mn1 0.0000 0.0000 0.0000  4 Mn 2.61, 4 Au 2.61
Mn2 0.0000 0.5000 0.5000  4 Mn 2.61, 4 Au 2.61
Mn3 0.2500 0.2500 0.2500  4 Mn 2.61, 4 Si 2.61
Mn4 0.2500 0.7500 0.7500  4 Mn 2.61, 4 Si 2.61
Mn5 0.5000 0.0000 0.5000  4 Mn 2.61, 4 Au 2.61
Mn6 0.5000 0.5000 0.0000  4 Mn 2.61, 4 Au 2.61
Mn7 0.7500 0.2500 0.7500  4 Mn 2.61, 4 Si 2.61
Mn8 0.7500 0.7500 0.2500  4 Mn 2.61, 4 Si 2.61
Si1 0.0000 0.0000 0.5000  4 Mn 2.61, 4 Au 2.61
Si2 0.0000 0.5000 0.0000  4 Mn 2.61, 4 Au 2.61
Si3 0.5000 0.0000 0.0000  4 Mn 2.61, 4 Au 2.61
Si4 0.5000 0.5000 0.5000  4 Mn 2.61, 4 Au 2.61
Au1 0.2500 0.2500 0.7500  4 Mn 2.61, 4 Si 2.61
Au2 0.2500 0.7500 0.2500  4 Mn 2.61, 4 Si 2.61
Au3 0.7500 0.2500 0.2500  4 Mn 2.61, 4 Si 2.61
Au4 0.7500 0.7500 0.7500  4 Mn 2.61, 4 Si 2.61


no.,V (Å³/cell),formation energy (no corrections) (meV/atom)
1,108,124
2,117,62
3,173,156
4,219,163